# PrNdEuRu | Alexandria | PBE | optimized geometry
data_PrNdEuRu
_chemical_formula_sum 'Pr4 Nd4 Eu4 Ru4'
_space_group_name_H-M_alt 'F -4 3 m'
_space_group_IT_number 216
_space_group_name_Hall 'F -4 2 3'
_cell_length_a 7.501
_cell_length_b 7.501
_cell_length_c 7.501
_cell_angle_alpha 90.00
_cell_angle_beta 90.00
_cell_angle_gamma 90.00
loop_
_atom_site_label
_atom_site_fract_x
_atom_site_fract_y
_atom_site_fract_z
Pr1 0.000 0.000 0.000
Nd1 0.000 0.000 0.500
Eu1 0.250 0.250 0.250
Ru1 0.250 0.250 0.750
# Formation energy = 0.72 eV/f.u.

***

# Ba3NdTi2O9 | Alexandria | PBE | optimized geometry
data_Ba3NdTi2O9
_chemical_formula_sum 'Ba3 Nd1 Ti2 O9'
_space_group_name_H-M_alt 'P -3 m 1'
_space_group_IT_number 164
_space_group_name_Hall '-P 3 2"'
_cell_length_a 5.9463
_cell_length_b 5.9463
_cell_length_c 7.4642
_cell_angle_alpha 90.00
_cell_angle_beta 90.00
_cell_angle_gamma 120.00
loop_
_atom_site_label
_atom_site_fract_x
_atom_site_fract_y
_atom_site_fract_z
Ba1 0.0000 0.0000 0.0000
Ba2 0.3333 0.6667 0.6983
Nd1 0.0000 0.0000 0.5000
Ti1 0.3333 0.6667 0.1719
O1 0.0000 0.5000 0.0000
O2 0.1779 0.3557 0.3074
# Formation energy from raw total energies = -2.91 eV per atom

***

# AlFeRu2 | Alexandria | PBE | optimized geometry
data_AlFeRu2
_chemical_formula_sum 'Al2 Fe2 Ru4'
_space_group_name_H-M_alt 'C 1 2/m 1'
_space_group_IT_number 12
_cell_length_a 8.462
_cell_length_b 2.747
_cell_length_c 4.766
_cell_angle_alpha 90.00
_cell_angle_beta 101.13
_cell_angle_gamma 90.00
loop_
_space_group_symop_operation_xyz
'x,y,z'
'-x,-y,-z'
'-x,y,-z'
'x,-y,z'
'x+1/2,y+1/2,z'
'-x+1/2,-y+1/2,-z'
'-x+1/2,y+1/2,-z'
'x+1/2,-y+1/2,z'
loop_
_atom_site_label
_atom_site_fract_x
_atom_site_fract_y
_atom_site_fract_z
Al1 0.000 0.000 0.000
Fe1 0.000 0.500 0.500
Ru1 0.248 0.000 0.740
# Formation energy = -0.47 eV/f.u.

***

# Sr2In6RhAu | Alexandria | PBE | optimized geometry
data_Sr2In6RhAu
_chemical_formula_sum 'Sr8 In24 Rh4 Au4'
_space_group_name_H-M_alt 'F m -3 m'
_space_group_IT_number 225
_space_group_name_Hall '-F 4 2 3'
_cell_length_a 10.558
_cell_length_b 10.558
_cell_length_c 10.558
_cell_angle_alpha 90.00
_cell_angle_beta 90.00
_cell_angle_gamma 90.00
loop_
_atom_site_label
_atom_site_fract_x
_atom_site_fract_y
_atom_site_fract_z
Sr1 0.250 0.250 0.250
In1 0.000 0.000 0.246
Rh1 0.000 0.000 0.000
Au1 0.000 0.000 0.500
# Formation energy = -2.02 eV/f.u.

***

# LiZrHgPt | Alexandria | PBE | optimized geometry
data_LiZrHgPt
_chemical_formula_sum 'Li4 Zr4 Hg4 Pt4'
_space_group_name_H-M_alt 'F -4 3 m'
_space_group_IT_number 216
_space_group_name_Hall 'F -4 2 3'
_cell_length_a 6.635
_cell_length_b 6.635
_cell_length_c 6.635
_cell_angle_alpha 90.00
_cell_angle_beta 90.00
_cell_angle_gamma 90.00
loop_
_atom_site_label
_atom_site_fract_x
_atom_site_fract_y
_atom_site_fract_z
Li1 0.000 0.000 0.000
Zr1 0.000 0.000 0.500
Hg1 0.250 0.250 0.750
Pt1 0.250 0.250 0.250
# Formation energy = -2.02 eV/f.u.

***

# CeIO | Alexandria | PBE | optimized geometry
data_CeIO
_chemical_formula_sum 'Ce1 I1 O1'
_space_group_name_H-M_alt 'P -6 m 2'
_space_group_IT_number 187
_space_group_name_Hall 'P -6 2'
_cell_length_a 3.9684
_cell_length_b 3.9684
_cell_length_c 5.2797
_cell_angle_alpha 90.00
_cell_angle_beta 90.00
_cell_angle_gamma 120.00
loop_
_atom_site_label
_atom_site_fract_x
_atom_site_fract_y
_atom_site_fract_z
Ce1 0.0000 0.0000 0.0000
I1 0.3333 0.6667 0.5000
O1 0.6667 0.3333 0.0000
# Formation energy from raw total energies = -2.42 eV per atom